This record from Alexandria describes a relaxed Ho7Te4P4 crystal. The functional is GGA-PBE.

Cell lengths 7.3276, 10.9500, 10.9500 Å; angles 83.57, 70.45, 70.45 degrees
Closest atoms and distances in Å follow each position.
Fractional coordinates of all 30 atoms:
P  0.6063  0.5000  0.7874  6 Ho 2.79-2.94
P  0.1063  0.7874  0.5000  6 Ho 2.79-2.94
P  0.6063  0.7874  0.5000  6 Ho 2.79-2.94
P  0.8937  0.2126  0.5000  6 Ho 2.79-2.94
P  0.3937  0.5000  0.2126  6 Ho 2.79-2.94
P  0.1063  0.5000  0.7874  6 Ho 2.79-2.94
P  0.3937  0.2126  0.5000  6 Ho 2.79-2.94
P  0.8937  0.5000  0.2126  6 Ho 2.79-2.94
Te  0.1271  0.7458  0.0000  5 Ho 3.04-3.21
Te  0.5000  0.8316  0.1684  3 Ho 2.88-3.10
Te  0.1271  0.0000  0.7458  5 Ho 3.04-3.21
Te  0.6684  0.8316  0.8316  3 Ho 2.88-3.10
Te  0.5000  0.1684  0.8316  3 Ho 2.88-3.10
Te  0.3316  0.1684  0.1684  3 Ho 2.88-3.10
Te  0.8729  0.2542  0.0000  5 Ho 3.04-3.21
Te  0.8729  0.0000  0.2542  5 Ho 3.04-3.21
Ho  0.8659  0.6341  0.6341  4 P 2.79, 1 Te 2.88
Ho  0.7172  0.0000  0.5655  4 P 2.94, 3 Te 3.21-3.25
Ho  0.2432  0.0000  0.0000  8 Te 3.10-3.17
Ho  0.0000  0.7081  0.2919  4 P 2.94, 2 Te 3.04
Ho  0.7081  0.2919  0.2919  4 P 2.94, 2 Te 3.04
Ho  0.1341  0.3659  0.3659  4 P 2.79, 1 Te 2.88
Ho  0.5000  0.6341  0.3659  4 P 2.79, 1 Te 2.88
Ho  0.2919  0.7081  0.7081  4 P 2.94, 2 Te 3.04
Ho  0.2828  0.4345  0.0000  4 P 2.94, 3 Te 3.21-3.25
Ho  0.7172  0.5655  0.0000  4 P 2.94, 3 Te 3.21-3.25
Ho  0.7568  0.0000  0.0000  8 Te 3.10-3.17
Ho  0.5000  0.3659  0.6341  4 P 2.79, 1 Te 2.88
Ho  0.0000  0.2919  0.7081  4 P 2.94, 2 Te 3.04
Ho  0.2828  0.0000  0.4345  4 P 2.94, 3 Te 3.21-3.25

Computed properties:
The space group is I4/mmm, No. 139. For the formation energy from raw total energies, the calculation gives -1.2814 eV per atom.